This record from Alexandria describes a relaxed structure of MnNbPdF2. The functional is PBE with a Hubbard U. Values from VASP.

Quantum ESPRESSO input file:
```
&SYSTEM
  ibrav = 0, nat = 5, ntyp = 4
/
ATOMIC_SPECIES
Mn 54.94 Mn.upf
Nb 92.91 Nb.upf
Pd 106.42 Pd.upf
F 19.00 F.upf
CELL_PARAMETERS angstrom
4.069 0.000 0.000
0.000 4.069 0.000
0.000 0.000 5.422
ATOMIC_POSITIONS angstrom
Mn 0.000 0.000 0.000
Nb 2.034 2.034 2.711
Pd 2.034 2.034 0.000
F 0.000 2.034 2.711
F 2.034 0.000 2.711
```

Output
Its raw total energy is -31.60 eV for the cell shown. Its space-group type is P4/mmm. The total magnetization comes out at 3.4 μB/cell. The density of states at the Fermi level is 3.717 states/eV/cell.